Record 1
VASP calculation (PBE-GGA) on an optimized crystal structure of NaCoC3. Values from VASP.

* distance to the lowest polymorph of the same formula: 2099 meV per atom
* symmetry: Pm-3m (221)

```
&SYSTEM
  ibrav = 0, nat = 5, ntyp = 3
/
ATOMIC_SPECIES
Co 58.93 Co.upf
C 12.01 C.upf
Na 22.99 Na.upf
CELL_PARAMETERS angstrom
4.021 0.000 0.000
0.000 4.021 0.000
0.000 0.000 4.021
ATOMIC_POSITIONS crystal
Co 0.500 0.500 0.500
C 0.500 0.000 0.000
C 0.000 0.000 0.500
C 0.000 0.500 0.000
Na 0.000 0.000 0.000
```

Record 2
VASP calculation (PBE-GGA) on an optimized crystal structure of MnNi2Cl. Values from VASP.

* formation energy without anion corrections: 4.15 kcal/mol of atoms
* distance to the lowest polymorph of the same formula: 105 meV per atom
* symmetry: P4/mmm (123)

```
&SYSTEM
  ibrav = 0, nat = 4, ntyp = 3
/
ATOMIC_SPECIES
Cl 35.45 Cl.upf
Ni 58.69 Ni.upf
Mn 54.94 Mn.upf
CELL_PARAMETERS angstrom
-2.074 0.134 2.197
-2.131 -0.875 -1.960
1.085 -5.718 1.373
ATOMIC_POSITIONS crystal
Cl 0.500 0.500 0.250
Ni 0.000 0.000 0.537
Ni 0.000 0.000 0.963
Mn 0.500 0.500 0.750
```

Record 3
VASP calculation (PBE-GGA) on an optimized crystal structure of PrHo6Er4. Values from VASP.

* distance to the lowest polymorph of the same formula: 213 meV per atom
* symmetry: P-6m2 (187)

```
&SYSTEM
  ibrav = 0, nat = 11, ntyp = 3
/
ATOMIC_SPECIES
Ho 164.93 Ho.upf
Er 167.26 Er.upf
Pr 140.91 Pr.upf
CELL_PARAMETERS angstrom
-0.723 4.872 -1.803
-3.953 -3.327 -7.407
-4.972 1.956 7.281
ATOMIC_POSITIONS crystal
Ho 0.500 0.208 0.792
Ho 0.000 0.535 0.465
Ho 0.000 0.929 0.465
Ho 0.500 0.208 0.416
Ho 0.000 0.535 0.071
Ho 0.500 0.584 0.792
Er 0.500 0.408 0.204
Er 0.000 0.333 0.667
Er 0.500 0.796 0.592
Er 0.500 0.796 0.204
Pr 0.000 0.000 0.000
```

Record 4
VASP calculation (PBE-GGA) on an optimized crystal structure of Re2AsPt. Values from VASP.

* symmetry: Cmm2 (35)

```
&SYSTEM
  ibrav = 0, nat = 4, ntyp = 3
/
ATOMIC_SPECIES
Re 186.21 Re.upf
As 74.92 As.upf
Pt 195.08 Pt.upf
CELL_PARAMETERS angstrom
2.767 -0.002 0.000
-1.283 2.451 0.000
0.000 0.000 9.471
ATOMIC_POSITIONS crystal
Re 0.500 0.500 0.239
Re 0.000 0.000 0.010
As 0.000 0.000 0.493
Pt 0.500 0.500 0.758
```

Record 5
VASP calculation (PBE-GGA) on an optimized crystal structure of CsLa3F. Values from VASP.

* formation energy without anion corrections: -12.83 kcal/mol of atoms
* distance to the lowest polymorph of the same formula: 0 meV per atom
* symmetry: Pm-3m (221)

```
&SYSTEM
  ibrav = 0, nat = 5, ntyp = 3
/
ATOMIC_SPECIES
La 138.91 La.upf
F 19.00 F.upf
Cs 132.91 Cs.upf
CELL_PARAMETERS angstrom
5.441 0.000 0.000
0.000 5.441 0.000
0.000 0.000 5.441
ATOMIC_POSITIONS crystal
La 0.000 0.000 0.500
La 0.000 0.500 0.000
La 0.500 0.000 0.000
F 0.000 0.000 0.000
Cs 0.500 0.500 0.500
```

Record 6
VASP calculation (PBE-GGA) on an optimized crystal structure of Sc3N2. Values from VASP.

* formation energy without anion corrections: -35.32 kcal/mol of atoms
* symmetry: R-3m (166)

```
&SYSTEM
  ibrav = 0, nat = 5, ntyp = 2
/
ATOMIC_SPECIES
N 14.01 N.upf
Sc 44.96 Sc.upf
CELL_PARAMETERS angstrom
3.222 0.000 0.000
1.611 2.790 0.000
1.611 0.930 8.018
ATOMIC_POSITIONS crystal
N 0.611 0.611 0.168
N 0.389 0.389 0.832
Sc 0.771 0.771 0.688
Sc 0.000 0.000 0.000
Sc 0.229 0.229 0.312
```

Record 7
VASP calculation (PBE-GGA) on an optimized crystal structure of Mg2PaAl. Values from VASP.

* symmetry: R-3m (166)

```
&SYSTEM
  ibrav = 0, nat = 4, ntyp = 3
/
ATOMIC_SPECIES
Mg 24.30 Mg.upf
Pa 231.04 Pa.upf
Al 26.98 Al.upf
CELL_PARAMETERS angstrom
3.052 0.000 0.000
1.526 2.643 0.000
1.526 0.881 11.181
ATOMIC_POSITIONS crystal
Mg 0.096 0.096 0.713
Mg 0.904 0.904 0.287
Pa 0.000 0.000 0.000
Al 0.500 0.500 0.500
```

Record 8
VASP calculation (PBE-GGA) on an optimized crystal structure of Er5AlCu4. Values from VASP.

* symmetry: P4/mmm (123)

```
&SYSTEM
  ibrav = 0, nat = 10, ntyp = 3
/
ATOMIC_SPECIES
Er 167.26 Er.upf
Cu 63.55 Cu.upf
Al 26.98 Al.upf
CELL_PARAMETERS angstrom
3.433 0.000 0.000
0.000 3.433 0.000
0.000 0.000 17.617
ATOMIC_POSITIONS crystal
Er 0.500 0.500 0.304
Er 0.500 0.500 0.500
Er 0.500 0.500 0.696
Er 0.500 0.500 0.108
Er 0.500 0.500 0.892
Cu 0.000 0.000 0.796
Cu 0.000 0.000 0.403
Cu 0.000 0.000 0.597
Cu 0.000 0.000 0.204
Al 0.000 0.000 0.000
```

Record 9
VASP calculation (PBE-GGA) on an optimized crystal structure of Sc3TlIn. Values from VASP.

* distance to the lowest polymorph of the same formula: 0 meV per atom
* symmetry: Cmcm (63)

```
&SYSTEM
  ibrav = 0, nat = 10, ntyp = 3
/
ATOMIC_SPECIES
In 114.82 In.upf
Tl 204.38 Tl.upf
Sc 44.96 Sc.upf
CELL_PARAMETERS angstrom
-3.679 -0.992 2.768
2.850 -0.109 3.749
-3.462 9.786 2.915
ATOMIC_POSITIONS crystal
In 0.172 0.250 0.304
In 0.476 0.750 0.696
Tl 0.673 0.750 0.302
Tl 0.975 0.250 0.698
Sc 0.272 0.750 0.105
Sc 0.377 0.250 0.895
Sc 0.574 0.250 0.500
Sc 0.877 0.750 0.894
Sc 0.771 0.250 0.106
Sc 0.074 0.750 0.500
```

Record 10
VASP calculation (PBE-GGA) on an optimized crystal structure of KIF2. Values from VASP.

* formation energy without anion corrections: -23.08 kcal/mol of atoms
* distance to the lowest polymorph of the same formula: 878 meV per atom
* symmetry: R-3m (166)

```
&SYSTEM
  ibrav = 0, nat = 4, ntyp = 3
/
ATOMIC_SPECIES
K 39.10 K.upf
F 19.00 F.upf
I 126.90 I.upf
CELL_PARAMETERS angstrom
3.138 2.249 8.054
5.616 -0.248 6.941
5.914 3.262 5.844
ATOMIC_POSITIONS crystal
K 0.000 0.000 0.000
F 0.911 0.911 0.911
F 0.089 0.089 0.089
I 0.500 0.500 0.500
```

Record 11
VASP calculation (PBE-GGA) on an optimized crystal structure of ThZrAlAg. Values from VASP.

* symmetry: F-43m (216)

```
&SYSTEM
  ibrav = 0, nat = 4, ntyp = 4
/
ATOMIC_SPECIES
Ag 107.87 Ag.upf
Al 26.98 Al.upf
Th 232.04 Th.upf
Zr 91.22 Zr.upf
CELL_PARAMETERS angstrom
-1.756 -4.143 2.378
3.064 -2.662 3.070
-0.747 0.080 5.033
ATOMIC_POSITIONS crystal
Ag 0.250 0.250 0.250
Al 0.750 0.750 0.750
Th 0.500 0.500 0.500
Zr 0.000 0.000 0.000
```

Record 12
VASP calculation (PBE-GGA) on an optimized crystal structure of KHg2Ru. Values from VASP.

* distance to the lowest polymorph of the same formula: 84 meV per atom
* symmetry: C2/m (12)

```
&SYSTEM
  ibrav = 0, nat = 4, ntyp = 3
/
ATOMIC_SPECIES
K 39.10 K.upf
Hg 200.59 Hg.upf
Ru 101.07 Ru.upf
CELL_PARAMETERS angstrom
4.792 0.010 -0.010
3.771 2.956 -0.010
0.846 0.293 7.249
ATOMIC_POSITIONS crystal
K 0.750 0.750 0.750
Hg 0.514 0.514 0.431
Hg 0.986 0.986 0.069
Ru 0.250 0.250 0.250
```

Record 13
VASP calculation (PBE-GGA) on an optimized crystal structure of HoAgSn2Se4. Values from VASP.

* formation energy without anion corrections: -17.45 kcal/mol of atoms
* symmetry: P2/m (10)

```
&SYSTEM
  ibrav = 0, nat = 8, ntyp = 4
/
ATOMIC_SPECIES
Se 78.96 Se.upf
Ag 107.87 Ag.upf
Ho 164.93 Ho.upf
Sn 118.71 Sn.upf
CELL_PARAMETERS angstrom
4.180 0.000 0.000
0.000 7.385 -0.189
0.000 2.558 6.699
ATOMIC_POSITIONS crystal
Se 0.000 0.266 0.248
Se 0.500 0.264 0.738
Se 0.500 0.736 0.262
Se 0.000 0.734 0.752
Ag 0.500 0.500 0.000
Ho 0.000 0.500 0.500
Sn 0.500 0.000 0.500
Sn 0.000 0.000 0.000
```

Record 14
VASP calculation (PBE-GGA) on an optimized crystal structure of CaSmAsAu. Values from VASP.

* symmetry: F-43m (216)

```
&SYSTEM
  ibrav = 0, nat = 4, ntyp = 4
/
ATOMIC_SPECIES
Au 196.97 Au.upf
Ca 40.08 Ca.upf
Sm 150.36 Sm.upf
As 74.92 As.upf
CELL_PARAMETERS angstrom
-0.722 2.023 4.689
-2.156 -2.837 3.729
2.852 -1.627 3.978
ATOMIC_POSITIONS crystal
Au 0.250 0.250 0.250
Ca 0.500 0.500 0.500
Sm 0.000 0.000 0.000
As 0.750 0.750 0.750
```

Record 15
VASP calculation (PBE-GGA) on an optimized crystal structure of Zn2CuWAu. Values from VASP.

* symmetry: P4/mmm (123)

```
&SYSTEM
  ibrav = 0, nat = 5, ntyp = 4
/
ATOMIC_SPECIES
Zn 65.41 Zn.upf
Au 196.97 Au.upf
Cu 63.55 Cu.upf
W 183.84 W.upf
CELL_PARAMETERS angstrom
-2.827 -2.816 2.494
3.839 -3.200 0.739
1.168 2.308 3.930
ATOMIC_POSITIONS crystal
Zn 0.000 0.000 0.500
Zn 0.500 0.000 0.000
Au 0.000 0.000 0.000
Cu 0.500 0.500 0.500
W 0.000 0.500 0.000
```

Record 16
VASP calculation (PBE-GGA) on an optimized crystal structure of TiRe4As2. Values from VASP.

* symmetry: I4/mmm (139)

```
&SYSTEM
  ibrav = 0, nat = 7, ntyp = 3
/
ATOMIC_SPECIES
As 74.92 As.upf
Re 186.21 Re.upf
Ti 47.87 Ti.upf
CELL_PARAMETERS angstrom
-0.115 1.114 -4.404
-4.499 -0.640 -0.045
-3.179 6.259 -0.678
ATOMIC_POSITIONS crystal
As 0.616 0.616 0.768
As 0.384 0.384 0.232
Re 0.000 0.500 0.000
Re 0.500 0.000 0.000
Re 0.806 0.806 0.388
Re 0.194 0.194 0.612
Ti 0.000 0.000 0.000
```

Record 17
VASP calculation (PBE-GGA) on an optimized crystal structure of K3Cd4Rh. Values from VASP.

* symmetry: Imm2 (44)

```
&SYSTEM
  ibrav = 0, nat = 8, ntyp = 3
/
ATOMIC_SPECIES
Cd 112.41 Cd.upf
K 39.10 K.upf
Rh 102.91 Rh.upf
CELL_PARAMETERS angstrom
-4.527 -0.425 5.899
4.307 -5.238 -3.080
2.808 5.501 4.162
ATOMIC_POSITIONS crystal
Cd 0.213 0.712 0.925
Cd 0.213 0.288 0.501
Cd 0.070 0.740 0.330
Cd 0.589 0.260 0.330
K 0.909 0.000 0.909
K 0.568 0.761 0.328
K 0.568 0.239 0.807
Rh 0.022 0.500 0.522
```

Record 18
VASP calculation (PBE-GGA) on an optimized crystal structure of CeHo2Ni2. Values from VASP.

* symmetry: P2_1/m (11)

```
&SYSTEM
  ibrav = 0, nat = 10, ntyp = 3
/
ATOMIC_SPECIES
Ni 58.69 Ni.upf
Ho 164.93 Ho.upf
Ce 140.12 Ce.upf
CELL_PARAMETERS angstrom
-2.407 1.674 -2.987
-4.343 -0.580 3.174
6.864 10.018 0.084
ATOMIC_POSITIONS crystal
Ni 0.750 0.673 0.023
Ni 0.250 0.923 0.643
Ni 0.750 0.077 0.357
Ni 0.250 0.327 0.977
Ho 0.750 0.702 0.461
Ho 0.750 0.285 0.120
Ho 0.250 0.715 0.880
Ho 0.250 0.298 0.539
Ce 0.750 0.114 0.797
Ce 0.250 0.886 0.203
```

Record 19
VASP calculation (PBE-GGA) on an optimized crystal structure of SrGa4AgAu2. Values from VASP.

* symmetry: R-3m (166)

```
&SYSTEM
  ibrav = 0, nat = 8, ntyp = 4
/
ATOMIC_SPECIES
Ga 69.72 Ga.upf
Sr 87.62 Sr.upf
Au 196.97 Au.upf
Ag 107.87 Ag.upf
CELL_PARAMETERS angstrom
4.433 0.000 0.000
2.217 3.839 0.000
2.217 1.280 9.792
ATOMIC_POSITIONS crystal
Ga 0.126 0.126 0.621
Ga 0.599 0.599 0.202
Ga 0.401 0.401 0.798
Ga 0.874 0.874 0.379
Sr 0.000 0.000 0.000
Au 0.240 0.240 0.279
Au 0.760 0.760 0.721
Ag 0.500 0.500 0.500
```

Record 20
VASP calculation (PBE-GGA) on an optimized crystal structure of LiMgTeN2. Values from VASP.

* formation energy without anion corrections: 22.32 kcal/mol of atoms
* distance to the lowest polymorph of the same formula: 0 meV per atom
* symmetry: P4/mmm (123)

```
&SYSTEM
  ibrav = 0, nat = 5, ntyp = 4
/
ATOMIC_SPECIES
N 14.01 N.upf
Te 127.60 Te.upf
Mg 24.30 Mg.upf
Li 6.94 Li.upf
CELL_PARAMETERS angstrom
4.208 0.000 0.000
0.000 4.208 0.000
0.000 0.000 5.957
ATOMIC_POSITIONS crystal
N 0.500 0.000 0.000
N 0.000 0.500 0.000
Te 0.000 0.000 0.500
Mg 0.000 0.000 0.000
Li 0.500 0.500 0.500
```

Record 21
VASP calculation (PBE-GGA) on an optimized crystal structure of CsPaSn2. Values from VASP.

* distance to the lowest polymorph of the same formula: 242 meV per atom
* symmetry: R-3m (166)

```
&SYSTEM
  ibrav = 0, nat = 4, ntyp = 3
/
ATOMIC_SPECIES
Cs 132.91 Cs.upf
Pa 231.04 Pa.upf
Sn 118.71 Sn.upf
CELL_PARAMETERS angstrom
-0.905 2.525 4.130
1.733 -1.629 4.312
7.122 4.597 1.686
ATOMIC_POSITIONS crystal
Cs 0.500 0.500 0.500
Pa 0.000 0.000 0.000
Sn 0.284 0.284 0.149
Sn 0.716 0.716 0.851
```

Record 22
VASP calculation (PBE-GGA) on an optimized crystal structure of NaInSnAu. Values from VASP.

* distance to the lowest polymorph of the same formula: 30 meV per atom
* symmetry: Cm (8)

```
&SYSTEM
  ibrav = 0, nat = 4, ntyp = 4
/
ATOMIC_SPECIES
In 114.82 In.upf
Sn 118.71 Sn.upf
Na 22.99 Na.upf
Au 196.97 Au.upf
CELL_PARAMETERS angstrom
-0.657 -3.104 0.616
4.187 1.267 2.371
-7.876 2.115 2.257
ATOMIC_POSITIONS crystal
In 0.276 0.552 0.945
Sn 0.701 0.403 0.230
Na 0.388 0.775 0.664
Au 0.531 0.062 0.417
```

Record 23
VASP calculation (PBE-GGA) on an optimized crystal structure of Tl4InMo. Values from VASP.

* symmetry: F-43m (216)

```
&SYSTEM
  ibrav = 0, nat = 6, ntyp = 3
/
ATOMIC_SPECIES
Tl 204.38 Tl.upf
In 114.82 In.upf
Mo 95.94 Mo.upf
CELL_PARAMETERS angstrom
0.000 4.454 4.454
4.454 0.000 4.454
4.454 4.454 0.000
ATOMIC_POSITIONS crystal
Tl 0.374 0.374 0.374
Tl 0.374 0.374 0.877
Tl 0.877 0.374 0.374
Tl 0.374 0.877 0.374
In 0.750 0.750 0.750
Mo 0.000 0.000 0.000
```

Record 24
VASP calculation (PBE-GGA) on an optimized crystal structure of Pm3Pr2Dy5. Values from VASP.

* distance to the lowest polymorph of the same formula: 0 meV per atom
* symmetry: C2/c (15)

```
&SYSTEM
  ibrav = 0, nat = 20, ntyp = 3
/
ATOMIC_SPECIES
Pm 145.00 Pm.upf
Pr 140.91 Pr.upf
Dy 162.50 Dy.upf
CELL_PARAMETERS angstrom
0.416 -8.604 3.667
8.356 -1.366 3.989
-7.301 7.868 3.266
ATOMIC_POSITIONS crystal
Pm 0.970 0.229 0.745
Pm 0.275 0.516 0.745
Pm 0.030 0.771 0.255
Pm 0.725 0.484 0.255
Pm 0.773 0.023 0.046
Pm 0.227 0.977 0.954
Pr 0.767 0.026 0.748
Pr 0.520 0.279 0.252
Pr 0.480 0.721 0.748
Pr 0.233 0.974 0.252
Dy 0.642 0.889 0.265
Dy 0.123 0.377 0.265
Dy 0.729 0.479 0.958
Dy 0.475 0.725 0.450
Dy 0.877 0.623 0.735
Dy 0.358 0.111 0.735
Dy 0.028 0.778 0.555
Dy 0.525 0.275 0.550
Dy 0.972 0.222 0.445
Dy 0.271 0.521 0.042
```

Record 25
VASP calculation (PBE-GGA) on an optimized crystal structure of GaBi3Cl. Values from VASP.

* formation energy without anion corrections: 8.12 kcal/mol of atoms
* distance to the lowest polymorph of the same formula: 349 meV per atom
* symmetry: Pm-3m (221)

```
&SYSTEM
  ibrav = 0, nat = 5, ntyp = 3
/
ATOMIC_SPECIES
Bi 208.98 Bi.upf
Ga 69.72 Ga.upf
Cl 35.45 Cl.upf
CELL_PARAMETERS angstrom
5.515 0.000 0.000
0.000 5.515 0.000
0.000 0.000 5.515
ATOMIC_POSITIONS crystal
Bi 0.500 0.000 0.000
Bi 0.000 0.000 0.500
Bi 0.000 0.500 0.000
Ga 0.000 0.000 0.000
Cl 0.500 0.500 0.500
```

Record 26
VASP calculation (PBE-GGA) on an optimized crystal structure of LaPm5Ga6. Values from VASP.

* symmetry: P2/m (10)

```
&SYSTEM
  ibrav = 0, nat = 12, ntyp = 3
/
ATOMIC_SPECIES
Pm 145.00 Pm.upf
La 138.91 La.upf
Ga 69.72 Ga.upf
CELL_PARAMETERS angstrom
4.944 -0.030 1.644
0.040 7.365 0.013
-0.009 -0.015 8.249
ATOMIC_POSITIONS crystal
Pm 0.664 0.500 0.672
Pm 0.336 0.500 0.328
Pm 0.000 0.500 0.000
Pm 0.667 0.000 0.666
Pm 0.333 0.000 0.334
La 0.000 0.000 0.000
Ga 0.831 0.745 0.339
Ga 0.500 0.747 0.000
Ga 0.500 0.253 0.000
Ga 0.169 0.745 0.661
Ga 0.831 0.255 0.339
Ga 0.169 0.255 0.661
```

| no. | E_tot (eV for the cell shown) | volume (A^3/atom) |
| --- | --- | --- |
| 1 | -15.78 | 13.0 |
| 2 | -21.86 | 13.7 |
| 3 | -46.79 | 33.7 |
| 4 | -34.15 | 16.1 |
| 5 | -20.29 | 32.2 |
| 6 | -43.30 | 14.4 |
| 7 | -15.45 | 22.5 |
| 8 | -45.94 | 20.8 |
| 9 | -51.08 | 23.3 |
| 10 | -10.39 | 25.6 |
| 11 | -22.93 | 23.3 |
| 12 | -9.12 | 25.6 |
| 13 | -35.43 | 26.1 |
| 14 | -18.25 | 24.3 |
| 15 | -15.94 | 22.4 |
| 16 | -55.83 | 18.5 |
| 17 | -14.47 | 32.5 |
| 18 | -56.08 | 23.2 |
| 19 | -25.56 | 20.8 |
| 20 | -18.46 | 21.1 |
| 21 | -17.65 | 42.9 |
| 22 | -11.73 | 25.1 |
| 23 | -18.32 | 29.5 |
| 24 | -90.04 | 33.7 |
| 25 | -14.76 | 33.6 |
| 26 | -53.63 | 25.0 |